# 1
Below is a relaxed NdMgGaCu crystal, with properties calculated at the GGA-PBE level.

Electronic total energy   -14.87 eV/cell
Formation enthalpy at 0 K   -346 meV per atom

Cell and atoms, written as POSCAR:
```
NdMgGaCu
1.0
4.887 0.000 0.000
2.443 4.232 0.000
2.443 1.411 3.990
Cu Ga Nd Mg
1 1 1 1
direct
0.250 0.250 0.250
0.750 0.750 0.750
0.500 0.500 0.500
0.000 0.000 0.000
```

=====

# 2
Below is a relaxed NdMgGa5Cu2 crystal, with properties calculated at the GGA-PBE level.

Electronic total energy   -29.96 eV/cell
Formation enthalpy at 0 K   -30 meV per atom

Cell and atoms, written as POSCAR:
```
NdMgGa5Cu2
1.0
4.520 0.000 0.000
0.000 4.520 0.000
0.000 0.000 9.215
Ga Mg Cu Nd
5 1 2 1
direct
0.500 0.500 0.500
0.000 0.500 0.179
0.000 0.500 0.821
0.500 0.000 0.179
0.500 0.000 0.821
0.000 0.000 0.000
0.500 0.500 0.744
0.500 0.500 0.256
0.000 0.000 0.500
```

=====

# 3
Below is a relaxed NdMgGa2Cu2 crystal, with properties calculated at the GGA-PBE level.

Electronic total energy   -22.97 eV/cell
Formation enthalpy at 0 K   -393 meV per atom

Cell and atoms, written as POSCAR:
```
NdMgGa2Cu2
1.0
4.275 0.000 0.000
-2.137 3.702 0.000
0.000 0.000 7.053
Cu Ga Mg Nd
2 2 1 1
direct
0.333 0.667 0.687
0.667 0.333 0.313
0.333 0.667 0.285
0.667 0.333 0.715
0.000 0.000 0.500
0.000 0.000 0.000
```

=====

# 4
Below is a relaxed Mg2Ga2CuNi5 crystal, with properties calculated at the GGA-PBE level.

Electronic total energy   -87.84 eV/cell
Formation enthalpy at 0 K   -168 meV per atom

Cell and atoms, written as POSCAR:
```
Mg2Ga2CuNi5
1.0
3.456 0.000 0.000
0.000 8.860 0.000
0.000 0.000 8.860
Mg Ni Cu Ga
4 10 2 4
direct
0.000 0.672 0.172
0.000 0.328 0.828
0.000 0.172 0.328
0.000 0.828 0.672
0.500 0.696 0.434
0.500 0.000 0.500
0.500 0.304 0.566
0.500 0.500 0.000
0.500 0.566 0.696
0.500 0.934 0.196
0.500 0.196 0.066
0.500 0.804 0.934
0.500 0.066 0.804
0.500 0.434 0.304
0.000 0.500 0.500
0.000 0.000 0.000
0.000 0.872 0.372
0.000 0.128 0.628
0.000 0.372 0.128
0.000 0.628 0.872
```

=====

# 5
Below is a relaxed Mg2GaCu2Ni5 crystal, with properties calculated at the GGA-PBE level.

Electronic total energy   -88.91 eV/cell
Formation enthalpy at 0 K   -114 meV per atom

Cell and atoms, written as POSCAR:
```
Mg2GaCu2Ni5
1.0
3.653 0.000 0.000
0.000 8.490 0.000
0.000 0.000 8.490
Ga Ni Mg Cu
2 10 4 4
direct
0.000 0.000 0.000
0.000 0.500 0.500
0.500 0.500 0.000
0.500 0.933 0.199
0.500 0.699 0.433
0.500 0.067 0.801
0.500 0.567 0.699
0.500 0.801 0.933
0.500 0.199 0.067
0.500 0.301 0.567
0.500 0.000 0.500
0.500 0.433 0.301
0.000 0.827 0.673
0.000 0.673 0.173
0.000 0.173 0.327
0.000 0.327 0.827
0.000 0.876 0.376
0.000 0.376 0.124
0.000 0.624 0.876
0.000 0.124 0.624
```

=====

# 6
Below is a relaxed Mg2GaCu5Ni2 crystal, with properties calculated at the GGA-PBE level.

Electronic total energy   -78.26 eV/cell
Formation enthalpy at 0 K   -87 meV per atom

Cell and atoms, written as POSCAR:
```
Mg2GaCu5Ni2
1.0
-0.335 -2.577 -2.842
7.223 -3.637 2.447
-4.322 -5.119 5.149
Cu Ni Mg Ga
10 4 4 2
direct
0.500 0.573 0.703
0.500 0.297 0.573
0.500 0.927 0.203
0.500 0.427 0.297
0.500 0.073 0.797
0.500 0.500 0.000
0.500 0.703 0.427
0.500 0.797 0.927
0.500 0.000 0.500
0.500 0.203 0.073
0.000 0.880 0.380
0.000 0.620 0.880
0.000 0.380 0.120
0.000 0.120 0.620
0.000 0.826 0.674
0.000 0.674 0.174
0.000 0.174 0.326
0.000 0.326 0.826
0.000 0.000 0.000
0.000 0.500 0.500
```

=====

# 7
Below is a relaxed MgNpGaCu crystal, with properties calculated at the GGA-PBE level.

Electronic total energy   -21.48 eV/cell
Formation enthalpy at 0 K   45 meV per atom

Cell and atoms, written as POSCAR:
```
MgNpGaCu
1.0
4.788 0.000 0.000
2.394 4.146 0.000
2.394 1.382 3.909
Mg Ga Cu Np
1 1 1 1
direct
0.500 0.500 0.500
0.250 0.250 0.250
0.750 0.750 0.750
0.000 0.000 0.000
```

=====

# 8
Below is a relaxed MgGaCuPd crystal, with properties calculated at the GGA-PBE level.

Electronic total energy   -15.62 eV/cell
Formation enthalpy at 0 K   -427 meV per atom

Cell and atoms, written as POSCAR:
```
MgGaCuPd
1.0
4.389 0.000 0.000
2.195 3.801 0.000
2.195 1.267 3.584
Cu Pd Mg Ga
1 1 1 1
direct
0.000 0.000 0.000
0.500 0.500 0.500
0.750 0.750 0.750
0.250 0.250 0.250
```

=====

# 9
Below is a relaxed PmMgGaCu crystal, with properties calculated at the GGA-PBE level.

Electronic total energy   -14.89 eV/cell
Formation enthalpy at 0 K   -356 meV per atom

Cell and atoms, written as POSCAR:
```
PmMgGaCu
1.0
-2.436 -3.643 -2.105
-1.875 -3.563 2.724
-4.816 -0.350 0.565
Mg Pm Cu Ga
1 1 1 1
direct
0.000 0.000 0.000
0.500 0.500 0.500
0.250 0.250 0.250
0.750 0.750 0.750
```

=====

# 10
Below is a relaxed Pm2MgGa4Cu3 crystal, with properties calculated at the GGA-PBE level.

Electronic total energy   -39.79 eV/cell
Formation enthalpy at 0 K   -430 meV per atom

Cell and atoms, written as POSCAR:
```
Pm2MgGa4Cu3
1.0
4.168 0.000 0.000
0.000 4.168 0.000
0.000 0.000 10.848
Ga Cu Mg Pm
4 3 1 2
direct
0.500 0.000 0.653
0.000 0.500 0.347
0.000 0.000 0.000
0.500 0.500 0.000
0.000 0.500 0.126
0.500 0.000 0.874
0.000 0.000 0.500
0.500 0.500 0.500
0.500 0.000 0.236
0.000 0.500 0.764
```

=====

# 11
Below is a relaxed PmMgGa4Cu2 crystal, with properties calculated at the GGA-PBE level.

Electronic total energy   -28.74 eV/cell
Formation enthalpy at 0 K   -261 meV per atom

Cell and atoms, written as POSCAR:
```
PmMgGa4Cu2
1.0
4.241 0.000 0.000
2.120 3.673 0.000
2.120 1.224 9.441
Ga Cu Pm Mg
4 2 1 1
direct
0.397 0.397 0.808
0.884 0.884 0.347
0.116 0.116 0.653
0.603 0.603 0.192
0.760 0.760 0.721
0.240 0.240 0.279
0.000 0.000 0.000
0.500 0.500 0.500
```

=====

# 12
Below is a relaxed PmMg2GaCu2 crystal, with properties calculated at the GGA-PBE level.

Electronic total energy   -19.25 eV/cell
Formation enthalpy at 0 K   -15 meV per atom

Cell and atoms, written as POSCAR:
```
PmMg2GaCu2
1.0
4.943 0.000 0.000
0.000 4.943 0.000
-2.472 -2.472 5.330
Mg Cu Ga Pm
2 2 1 1
direct
0.250 0.750 0.500
0.750 0.250 0.500
0.217 0.217 0.434
0.783 0.783 0.566
0.000 0.000 0.000
0.500 0.500 0.000
```

=====

# 13
Below is a relaxed Pm2MgGa3Cu4 crystal, with properties calculated at the GGA-PBE level.

Electronic total energy   -40.30 eV/cell
Formation enthalpy at 0 K   -374 meV per atom

Cell and atoms, written as POSCAR:
```
Pm2MgGa3Cu4
1.0
4.230 0.000 0.000
0.000 4.230 0.000
0.000 0.000 10.324
Cu Ga Pm Mg
4 3 2 1
direct
0.500 0.000 0.643
0.000 0.500 0.357
0.000 0.000 0.000
0.500 0.500 0.000
0.000 0.500 0.125
0.500 0.000 0.875
0.000 0.000 0.500
0.500 0.000 0.232
0.000 0.500 0.768
0.500 0.500 0.500
```

=====

# 14
Below is a relaxed PmMgGa2Cu2 crystal, with properties calculated at the GGA-PBE level.

Electronic total energy   -22.96 eV/cell
Formation enthalpy at 0 K   -395 meV per atom

Cell and atoms, written as POSCAR:
```
PmMgGa2Cu2
1.0
-2.104 -3.483 1.291
2.538 2.091 2.721
-5.402 3.993 1.969
Cu Ga Pm Mg
2 2 1 1
direct
0.333 0.667 0.691
0.667 0.333 0.309
0.333 0.667 0.283
0.667 0.333 0.717
0.000 0.000 0.000
0.000 0.000 0.500
```

=====

# 15
Below is a relaxed PrMgGa5Cu2 crystal, with properties calculated at the GGA-PBE level.

Electronic total energy   -30.06 eV/cell
Formation enthalpy at 0 K   -40 meV per atom

Cell and atoms, written as POSCAR:
```
PrMgGa5Cu2
1.0
-2.340 1.525 3.580
1.474 -3.519 2.462
7.250 4.895 2.654
Pr Ga Cu Mg
1 5 2 1
direct
0.000 0.000 0.500
0.000 0.500 0.822
0.500 0.000 0.822
0.500 0.000 0.178
0.500 0.500 0.500
0.000 0.500 0.178
0.500 0.500 0.747
0.500 0.500 0.253
0.000 0.000 0.000
```

=====

# 16
Below is a relaxed PrMgGaCu crystal, with properties calculated at the GGA-PBE level.

Electronic total energy   -14.84 eV/cell
Formation enthalpy at 0 K   -336 meV per atom

Cell and atoms, written as POSCAR:
```
PrMgGaCu
1.0
4.913 0.000 0.000
2.456 4.255 0.000
2.456 1.418 4.011
Mg Pr Ga Cu
1 1 1 1
direct
0.000 0.000 0.000
0.500 0.500 0.500
0.750 0.750 0.750
0.250 0.250 0.250
```

=====

# 17
Below is a relaxed PrMg2Ga2Cu crystal, with properties calculated at the GGA-PBE level.

Electronic total energy   -17.69 eV/cell
Formation enthalpy at 0 K   71 meV per atom

Cell and atoms, written as POSCAR:
```
PrMg2Ga2Cu
1.0
5.127 0.000 0.000
0.000 5.127 0.000
-2.564 -2.564 5.536
Mg Cu Pr Ga
2 1 1 2
direct
0.750 0.250 0.500
0.250 0.750 0.500
0.000 0.000 0.000
0.500 0.500 0.000
0.794 0.794 0.588
0.206 0.206 0.412
```

=====

# 18
Below is a relaxed PrMg2Ga2Cu2 crystal, with properties calculated at the GGA-PBE level.

Electronic total energy   -24.41 eV/cell
Formation enthalpy at 0 K   -313 meV per atom

Cell and atoms, written as POSCAR:
```
PrMg2Ga2Cu2
1.0
4.324 0.000 0.000
2.162 3.745 0.000
2.162 1.248 8.469
Cu Ga Mg Pr
2 2 2 1
direct
0.580 0.580 0.260
0.420 0.420 0.740
0.254 0.254 0.237
0.746 0.746 0.763
0.135 0.135 0.596
0.865 0.865 0.404
0.000 0.000 0.000
```

=====

# 19
Below is a relaxed PrMgGa2Cu crystal, with properties calculated at the GGA-PBE level.

Electronic total energy   -18.56 eV/cell
Formation enthalpy at 0 K   -408 meV per atom

Cell and atoms, written as POSCAR:
```
PrMgGa2Cu
1.0
-2.630 3.228 0.942
-0.896 -1.826 3.753
5.986 2.053 0.000
Ga Mg Cu Pr
2 1 1 1
direct
0.612 0.612 0.224
0.388 0.388 0.776
0.750 0.250 0.500
0.250 0.750 0.500
0.000 0.000 0.000
```

=====

# 20
Below is a relaxed MgGa2CuPt4 crystal, with properties calculated at the GGA-PBE level.

Electronic total energy   -40.52 eV/cell
Formation enthalpy at 0 K   -576 meV per atom

Cell and atoms, written as POSCAR:
```
MgGa2CuPt4
1.0
4.385 0.000 0.000
2.192 3.797 0.000
2.192 1.266 7.175
Ga Mg Pt Cu
2 1 4 1
direct
0.751 0.751 0.748
0.249 0.249 0.252
0.000 0.000 0.000
0.623 0.623 0.132
0.874 0.874 0.378
0.126 0.126 0.622
0.377 0.377 0.868
0.500 0.500 0.500
```